The following is a GGA-PBE calculation of La9Dy2Th after structural relaxation, from Alexandria via LeMat-Bulk.

Results
Energy of formation: 0.024 eV/atom
Total moment: 0.000 μB/cell
Calculated volume: 35.3 Å³/atom

Unit cell a=5.2066 b=5.2066 c=15.6114 alpha=90.00 beta=90.00 gamma=90.00
Sites, in units of the cell vectors:
La  0.5000  0.5000  0.0000
La  0.5000  0.5000  0.3352
La  0.5000  0.5000  0.6648
La  0.5000  0.0000  0.1632
La  0.5000  0.0000  0.5000
La  0.5000  0.0000  0.8368
La  0.0000  0.5000  0.1632
La  0.0000  0.5000  0.5000
La  0.0000  0.5000  0.8368
Dy  0.0000  0.0000  0.3347
Dy  0.0000  0.0000  0.6653
Th  0.0000  0.0000  0.0000